First-principles (PBE) data for NaErAgSe2 after structural relaxation, as listed in Alexandria via LeMat-Bulk.

Structure (POSCAR):
```
NaErAgSe2
1.0
4.965 0.000 0.000
0.000 7.091 0.451
0.000 -1.675 7.563
Na Se Ag Er
2 4 2 2
Direct
0.125 0.500 0.750 Na
0.875 0.500 0.250 Na
0.366 0.273 0.037 Se
0.366 0.727 0.463 Se
0.634 0.273 0.537 Se
0.634 0.727 0.963 Se
0.000 0.000 0.500 Ag
0.000 0.000 0.000 Ag
0.505 0.000 0.750 Er
0.495 0.000 0.250 Er
```

Values from the calculation:
ΔE_f (raw)	-0.941	eV per atom
M_tot	0.00	Bohr magnetons per cell
E_tot	-4.081	eV per atom
SG	No. 13
crystal system	monoclinic

First-principles (PBE) data for Ca2LaNbN4 after structural relaxation, as listed in Alexandria via LeMat-Bulk.

Structure (POSCAR):
```
Ca2LaNbN4
1.0
-4.575 -3.749 3.640
-1.771 -3.276 -5.862
6.672 0.251 1.981
N Ca Nb La
8 4 2 2
Direct
0.749 0.751 0.531 N
0.713 0.286 0.500 N
0.214 0.787 0.000 N
0.749 0.751 0.970 N
0.287 0.714 0.500 N
0.786 0.213 0.000 N
0.251 0.249 0.031 N
0.251 0.249 0.469 N
0.500 0.000 0.500 Ca
0.500 0.000 0.000 Ca
0.000 0.000 0.500 Ca
0.500 0.500 0.000 Ca
0.000 0.000 0.000 Nb
0.500 0.500 0.500 Nb
0.000 0.500 0.000 La
0.000 0.500 0.500 La
```

Values from the calculation:
ΔE_f (raw)	-1.074	eV per atom
M_tot	0.00	Bohr magnetons per cell
E_tot	-7.612	eV per atom
SG	No. 74
crystal system	orthorhombic

First-principles (PBE) data for NaIn3Ga2 after structural relaxation, as listed in Alexandria via LeMat-Bulk.

Structure (POSCAR):
```
NaIn3Ga2
1.0
-1.261 -0.371 -4.532
-8.789 0.857 -0.081
-3.936 7.655 -1.988
In Na Ga
6 2 4
Direct
0.000 0.331 0.669 In
0.676 0.112 0.535 In
0.324 0.888 0.465 In
0.000 0.669 0.331 In
0.324 0.464 0.888 In
0.676 0.536 0.112 In
0.130 0.870 0.870 Na
0.870 0.130 0.130 Na
0.500 0.851 0.149 Ga
0.500 0.149 0.851 Ga
0.198 0.302 0.302 Ga
0.802 0.698 0.698 Ga
```

Values from the calculation:
formation energy from the elements	-0.364	eV/f.u.
M_tot	0.00	Bohr magnetons per cell
E_tot	-2.659	eV per atom
SG	No. 71
crystal system	orthorhombic

First-principles (PBE) data for CaCrP2 after structural relaxation, as listed in Alexandria via LeMat-Bulk.

Structure (POSCAR):
```
CaCrP2
1.0
3.846 -0.261 -0.087
2.151 3.199 -0.087
0.136 0.067 5.820
P Ca Cr
2 1 1
Direct
0.125 0.125 0.193 P
0.125 0.125 0.807 P
0.458 0.458 0.500 Ca
0.792 0.792 0.000 Cr
```

Values from the calculation:
formation energy from the elements	-2.385	eV/f.u.
M_tot	2.86	Bohr magnetons per cell
E_tot	-6.207	eV per atom
SG	No. 187
crystal system	hexagonal

First-principles (PBE) data for AcPuIrRu after structural relaxation, as listed in Alexandria via LeMat-Bulk.

Structure (POSCAR):
```
AcPuIrRu
1.0
5.030 0.000 0.000
2.515 4.356 0.000
2.515 1.452 4.107
Ru Ir Pu Ac
1 1 1 1
Direct
0.000 0.000 0.000 Ru
0.500 0.500 0.500 Ir
0.750 0.750 0.750 Pu
0.250 0.250 0.250 Ac
```

Values from the calculation:
formation energy from the elements	-0.416	eV/f.u.
M_tot	4.19	Bohr magnetons per cell
E_tot	-9.248	eV per atom
SG	No. 216
crystal system	cubic

First-principles (PBE) data for TbHoGePt after structural relaxation, as listed in Alexandria via LeMat-Bulk.

Structure (POSCAR):
```
TbHoGePt
1.0
5.008 0.000 0.000
2.504 4.337 0.000
2.504 1.446 4.089
Ge Ho Pt Tb
1 1 1 1
Direct
0.250 0.250 0.250 Ge
0.500 0.500 0.500 Ho
0.750 0.750 0.750 Pt
0.000 0.000 0.000 Tb
```

Values from the calculation:
formation energy from the elements	-3.762	eV/f.u.
M_tot	0.00	Bohr magnetons per cell
E_tot	-5.907	eV per atom
SG	No. 216
crystal system	cubic

Number 1: N(E_F) 0.397 states/eV/atom. Number 2: N(E_F) 0.086 states/eV/atom. Number 3: N(E_F) 0.315 states/eV/atom. Number 4: N(E_F) 0.667 states/eV/atom. Number 5: N(E_F) 2.213 states/eV/atom. Number 6: N(E_F) 0.263 states/eV/atom.